Compound: LiTbGe2
Source: the Alexandria database
Functional: GGA-PBE
Structure: relaxed

Values from the calculation:
Space-group type = Fm-3m (225)
Fermi-level density of states = 0.5343 states/eV per atom
Polymorph energy (0 for the lowest one) = 0.916 eV per formula unit
Total energy = -17.391 eV per cell
Formation energy = -0.403 eV/atom

The structure in extended XYZ format:
```
4
Lattice="-3.124 2.824 -2.460 -4.793 -0.374 0.823 -2.368 3.593 2.297" Properties=species:S:1:pos:R:3 pbc="T T T"
Ge -2.571 1.511 0.165
Ge -7.714 4.533 0.495
Tb 0.000 0.000 0.000
Li -5.142 3.022 0.330
```